Here is crystalline KPSe2Br at its relaxed geometry from Alexandria via LeMat-Bulk. Energies are from PBE.

Properties
Fermi-level density of states ... 11.1 states/eV/f.u.
E_tot ... -1.841 eV/atom

abc: 6.045 6.045 5.860
angles: 90.00 90.00 90.00
Positions (direct):
K1 0.000 0.000 0.000
P1 0.500 0.500 0.500
Se1 0.000 0.500 0.000
Se2 0.500 0.000 0.000
Br1 0.000 0.000 0.500



Here is crystalline TaHg2As at its relaxed geometry from Alexandria via LeMat-Bulk. Energies are from PBE.

Properties
Energy of formation ... 53.4 kJ per mole of atoms
Fermi-level density of states ... 3.3 states/eV/f.u.
E_tot ... -3.723 eV/atom

abc: 6.239 6.239 6.239
angles: 100.97 100.97 128.26
Positions (direct):
Ta1 0.000 0.000 0.000
Ta2 0.750 0.250 0.500
Hg1 0.125 0.625 0.000
Hg2 0.375 0.375 0.500
Hg3 0.625 0.125 0.000
Hg4 0.875 0.875 0.500
As1 0.250 0.750 0.500
As2 0.500 0.500 0.000



Here is crystalline Mg4TaPd15 at its relaxed geometry from Alexandria via LeMat-Bulk. Energies are from PBE.

Properties
Energy of formation ... -48.3 kJ per mole of atoms
Fermi-level density of states ... 21.1 states/eV/f.u.
E_tot ... -5.307 eV/atom

abc: 3.967 3.967 19.844
angles: 90.00 90.00 90.00
Positions (direct):
Mg1 0.000 0.000 0.101
Mg2 0.000 0.000 0.299
Mg3 0.000 0.000 0.701
Mg4 0.000 0.000 0.899
Ta1 0.000 0.000 0.500
Pd1 0.000 0.500 0.000
Pd2 0.000 0.500 0.200
Pd3 0.000 0.500 0.403
Pd4 0.000 0.500 0.597
Pd5 0.000 0.500 0.800
Pd6 0.500 0.000 0.000
Pd7 0.500 0.000 0.200
Pd8 0.500 0.000 0.403
Pd9 0.500 0.000 0.597
Pd10 0.500 0.000 0.800
Pd11 0.500 0.500 0.099
Pd12 0.500 0.500 0.301
Pd13 0.500 0.500 0.500
Pd14 0.500 0.500 0.699
Pd15 0.500 0.500 0.901



Q: What is the formula in the third record?
A: Mg4TaPd15



Q: E_tot of number 3 (Mg4TaPd15)?
A: -5.307 eV/atom



Q: Which of these has the highest E_tot?
A: KPSe2Br